Density functional theory data (GGA-PBE) for an optimized crystal structure of BeCr2Fe.

Lattice parameters (Å, degrees): 2.7945 3.7521 7.8815 90.00 90.00 90.00
Space group Immm (No. 71)
Inequivalent atoms, fractional coordinates:
1 Be 0.0000 0.0000 0.0000 x2
2 Cr 0.0000 0.5000 0.2458 x4
3 Fe 0.0000 0.0000 0.5000 x2

## Properties
The calculation puts the formation energy at -17 meV/atom.

***

Density functional theory data (GGA-PBE) for an optimized crystal structure of CaZnTc.

Lattice parameters (Å, degrees): 2.8765 2.8765 13.3338 90.00 90.00 90.00
Space group I4mm (No. 107)
Inequivalent atoms, fractional coordinates:
1 Ca 0.0000 0.0000 0.0000 x2
2 Zn 0.0000 0.0000 0.3165 x2
3 Tc 0.0000 0.0000 0.6789 x2

## Properties
The value obtained for the polymorph energy (0 for the lowest one) is 86.1 meV/atom. The calculation puts the formation energy at 383 meV/atom.

***

| no. | size of the total moment (μB/f.u.) |
| --- | --- |
| 1 | 0.3 |
| 2 | 0.0 |